Record 1
## La12Co5Ag3 (GGA-PBE)

Data for a relaxed La12Co5Ag3 crystal.

Unit cell a=14.766 b=14.766 c=14.766 alpha=109.47 beta=109.47 gamma=109.47
Fractional coordinates of all 80 atoms:
La 0.594 0.620 0.415
La 0.205 0.679 0.085
La 0.620 0.594 0.915
Co 0.000 0.500 0.000
Co 0.750 0.625 0.375
La 0.406 0.026 0.321
Co 0.875 0.625 0.750
La 0.906 0.085 0.880
La 0.620 0.026 0.205
La 0.594 0.974 0.679
La 0.120 0.705 0.526
La 0.205 0.526 0.620
La 0.915 0.094 0.620
Co 0.500 0.000 0.000
Ag 0.875 0.750 0.125
La 0.880 0.295 0.474
La 0.026 0.406 0.821
Ag 0.625 0.375 0.750
Co 0.750 0.125 0.875
La 0.321 0.795 0.415
Co 0.375 0.125 0.750
Co 0.250 0.875 0.125
La 0.321 0.526 0.406
Co 0.500 0.000 0.500
La 0.585 0.880 0.406
La 0.585 0.705 0.679
La 0.974 0.380 0.295
Co 0.000 0.500 0.500
La 0.821 0.915 0.295
Co 0.500 0.500 0.000
Co 0.125 0.750 0.375
La 0.915 0.821 0.795
Co 0.000 0.000 0.500
La 0.821 0.906 0.026
Ag 0.375 0.625 0.250
Co 0.875 0.250 0.625
La 0.415 0.295 0.321
La 0.120 0.415 0.094
La 0.705 0.585 0.179
La 0.026 0.620 0.705
La 0.795 0.474 0.380
La 0.085 0.179 0.205
Ag 0.750 0.875 0.625
La 0.679 0.205 0.585
La 0.094 0.915 0.120
La 0.415 0.120 0.594
Ag 0.375 0.750 0.625
La 0.880 0.585 0.906
La 0.705 0.120 0.026
La 0.474 0.795 0.880
Ag 0.250 0.625 0.875
Co 0.500 0.500 0.500
La 0.906 0.821 0.526
Ag 0.750 0.375 0.125
La 0.295 0.880 0.974
Ag 0.875 0.125 0.250
La 0.094 0.179 0.474
La 0.526 0.205 0.120
La 0.406 0.380 0.585
La 0.974 0.594 0.179
Ag 0.250 0.125 0.375
La 0.179 0.094 0.974
Ag 0.125 0.250 0.875
Ag 0.125 0.875 0.750
La 0.474 0.679 0.094
Co 0.625 0.750 0.875
La 0.295 0.415 0.821
La 0.679 0.474 0.594
La 0.795 0.321 0.915
La 0.179 0.085 0.705
Co 0.125 0.375 0.250
La 0.085 0.906 0.380
La 0.526 0.321 0.906
Co 0.000 0.000 0.000
La 0.380 0.974 0.795
Co 0.625 0.875 0.250
Co 0.375 0.250 0.125
Ag 0.625 0.250 0.375
Co 0.250 0.375 0.625
La 0.380 0.406 0.085

Values from the calculation:
- space group = Ia-3d
- total moment (μB per formula unit) = 0.00
- E_form (eV per atom) = 0.01
- calculated density (g/cm3) = 6.12

Record 2
## La2CoAg2 (GGA-PBE)

Data for a relaxed La2CoAg2 crystal.

Unit cell a=7.493 b=7.493 c=4.454 alpha=90.00 beta=90.00 gamma=90.00
Each line ends with the local moment (μB).
Fractional coordinates of all 10 atoms:
La 0.821 0.321 0.500  -0.10
Ag 0.369 0.869 0.000  -0.01
La 0.321 0.179 0.500  -0.10
Co 0.000 0.000 0.000  1.53
La 0.179 0.679 0.500  -0.10
Ag 0.869 0.631 0.000  -0.01
La 0.679 0.821 0.500  -0.10
Ag 0.631 0.131 0.000  -0.01
Ag 0.131 0.369 0.000  -0.01
Co 0.500 0.500 0.000  1.53

Values from the calculation:
- space group = P4/mbm
- total moment (μB per formula unit) = 0.97
- E_form (eV per atom) = 0.10
- calculated density (g/cm3) = 7.34
- E above lowest polymorph (eV per atom) = 0.061

Record 3
## LaCo3Ag (GGA-PBE)

Data for a relaxed LaCo3Ag crystal.

Unit cell a=4.720 b=4.720 c=4.720 alpha=90.00 beta=90.00 gamma=90.00
Each line ends with the local moment (μB).
Fractional coordinates of all 5 atoms:
Co 0.000 0.500 0.000  1.71
La 0.500 0.500 0.500  -0.25
Ag 0.000 0.000 0.000  0.07
Co 0.500 0.000 0.000  1.46
Co 0.000 0.000 0.500  2.06

Values from the calculation:
- space group = Pm-3m
- total moment (μB per formula unit) = 4.62
- E_form (eV per atom) = 0.95
- calculated density (g/cm3) = 6.69
- E above lowest polymorph (eV per atom) = 0.000

Record 4
## La8Co3Ag2 (GGA-PBE)

Data for a relaxed La8Co3Ag2 crystal.

Unit cell a=4.849 b=11.397 c=8.340 alpha=121.87 beta=90.00 gamma=90.00
Fractional coordinates of all 13 atoms:
La 0.000 0.833 0.806
La 0.500 0.102 0.789
La 0.000 0.647 0.232
La 0.000 0.353 0.768
Ag 0.500 0.240 0.475
La 0.500 0.898 0.211
La 0.000 0.167 0.194
La 0.500 0.589 0.760
Co 0.000 0.312 0.024
Co 0.500 0.000 0.000
Co 0.000 0.688 0.976
Ag 0.500 0.760 0.525
La 0.500 0.411 0.240

Values from the calculation:
- space group = P2/m
- total moment (μB per formula unit) = 0.00
- E_form (eV per atom) = -0.09
- calculated density (g/cm3) = 6.38

Record 5
## La19Co6Ag4 (GGA-PBE)

Data for a relaxed La19Co6Ag4 crystal.

Unit cell a=10.399 b=10.399 c=10.399 alpha=109.47 beta=109.47 gamma=109.47
Fractional coordinates of all 29 atoms:
Ag 0.664 0.000 0.000
La 0.706 0.000 0.706
La 0.605 0.646 0.365
La 0.354 0.958 0.718
La 0.000 0.706 0.706
La 0.958 0.718 0.354
Co 0.500 0.887 0.387
La 0.706 0.706 0.000
La 0.760 0.042 0.395
La 0.718 0.354 0.958
La 0.282 0.240 0.635
La 0.395 0.760 0.042
La 0.240 0.635 0.282
Co 0.887 0.387 0.500
La 0.294 0.000 0.294
Co 0.613 0.500 0.113
Ag 0.336 0.336 0.336
La 0.000 0.000 0.000
La 0.000 0.294 0.294
La 0.042 0.395 0.760
La 0.646 0.365 0.605
La 0.365 0.605 0.646
La 0.294 0.294 0.000
Ag 0.000 0.000 0.664
Co 0.387 0.500 0.887
La 0.635 0.282 0.240
Co 0.113 0.613 0.500
Ag 0.000 0.664 0.000
Co 0.500 0.113 0.613

Values from the calculation:
- space group = I23
- total moment (μB per formula unit) = 0.00
- E_form (eV per atom) = -0.07
- calculated density (g/cm3) = 6.57

Record 6
## La3Co3Ag (GGA-PBE)

Data for a relaxed La3Co3Ag crystal.

Unit cell a=4.021 b=9.702 c=9.702 alpha=120.00 beta=90.00 gamma=90.00
Fractional coordinates of all 14 atoms:
Ag 0.250 0.667 0.333
Co 0.750 0.015 0.156
Co 0.250 0.859 0.015
La 0.750 0.694 0.067
Ag 0.750 0.333 0.667
La 0.750 0.933 0.626
La 0.250 0.626 0.694
La 0.750 0.374 0.306
Co 0.250 0.156 0.141
La 0.250 0.067 0.374
Co 0.750 0.844 0.859
Co 0.750 0.141 0.985
La 0.250 0.306 0.933
Co 0.250 0.985 0.844

Values from the calculation:
- space group = P6_3/m
- total moment (μB per formula unit) = 0.00
- E_form (eV per atom) = -0.10
- calculated density (g/cm3) = 7.11

Record 7
## La3CoAg2 (GGA-PBE)

Data for a relaxed La3CoAg2 crystal.

Unit cell a=5.225 b=7.707 c=8.452 alpha=90.00 beta=71.89 gamma=90.00
Fractional coordinates of all 12 atoms:
Ag 0.297 0.250 0.406
Co 0.999 0.750 0.000
La 0.866 0.000 0.269
La 0.866 0.500 0.269
Ag 0.703 0.750 0.594
Ag 0.297 0.750 0.406
La 0.500 0.750 0.000
Co 0.001 0.250 0.000
La 0.134 0.500 0.731
Ag 0.703 0.250 0.594
La 0.500 0.250 0.000
La 0.134 0.000 0.731

Values from the calculation:
- space group = P2_1/m
- total moment (μB per formula unit) = 0.00
- E_form (eV per atom) = -0.21
- calculated density (g/cm3) = 7.10

Record 8
## La6Co2Ag (GGA-PBE)

Data for a relaxed La6Co2Ag crystal.

Unit cell a=5.429 b=6.920 c=9.629 alpha=125.50 beta=90.00 gamma=113.10
Fractional coordinates of all 9 atoms:
La 0.637 0.274 0.505
Co 0.285 0.571 0.186
La 0.710 0.419 0.119
La 0.008 0.015 0.163
La 0.290 0.581 0.881
Co 0.715 0.429 0.814
La 0.363 0.726 0.495
Ag 0.000 0.000 0.500
La 0.992 0.985 0.837

Values from the calculation:
- space group = C2/m
- total moment (μB per formula unit) = 0.00
- E_form (eV per atom) = -0.06
- calculated density (g/cm3) = 6.81
- E above lowest polymorph (eV per atom) = 0.099